No. 1
# HgTeSe

An optimized crystal structure of HgTeSe (GGA-PBE, Alexandria).

a = 7.105 Å, b = 7.105 Å, c = 7.105 Å
α = 90.00°, β = 90.00°, γ = 90.00°
Space group F-43m (No. 216)
Inequivalent atoms, fractional coordinates:
Hg (0.000, 0.000, 0.000) x4
Te (0.000, 0.000, 0.500) x4
Se (0.250, 0.250, 0.750) x4

***

No. 2
# ZnPt2I

An optimized crystal structure of ZnPt2I (GGA-PBE, Alexandria).

a = 4.216 Å, b = 4.216 Å, c = 17.790 Å
α = 90.00°, β = 90.00°, γ = 90.00°
Space group I-42d (No. 122)
Inequivalent atoms, fractional coordinates:
Zn (0.000, 0.000, 0.000) x4
Pt (0.229, 0.250, 0.125) x8
I (0.000, 0.000, 0.500) x4

***

| no. | formation energy without anion corrections (meV per atom) | calculated volume (Å³ per cell) |
| --- | --- | --- |
| 1 | 417 | 358.7 |
| 2 | 232 | 316.2 |